1.
Density functional theory data (PBE) for a geometry-optimized Ti7MoPd2 structure.

a = 6.4979 Å, b = 6.4979 Å, c = 6.4979 Å
α = 60.00°, β = 60.00°, γ = 60.00°
Closest atoms and distances in Å follow each position.
Positions (direct):
1 Pd 0.2500 0.2500 0.2500  12 Ti 3.25
2 Pd 0.7500 0.7500 0.7500  12 Ti 3.25
3 Ti 0.5000 0.5000 0.5000  6 Ti 2.26
4 Ti 0.7464 0.2536 0.2536  1 Ti 2.26, 1 Mo 2.33
5 Ti 0.7464 0.2536 0.7464  1 Ti 2.26, 1 Mo 2.33
6 Ti 0.7464 0.7464 0.2536  1 Ti 2.26, 1 Mo 2.33
7 Ti 0.2536 0.7464 0.7464  1 Ti 2.26, 1 Mo 2.33
8 Ti 0.2536 0.7464 0.2536  1 Ti 2.26, 1 Mo 2.33
9 Ti 0.2536 0.2536 0.7464  1 Ti 2.26, 1 Mo 2.33
10 Mo 0.0000 0.0000 0.0000  6 Ti 2.33

Calculated values
Energy: -6.87 eV/atom
Total magnetic moment: 2.8 μB per cell
ΔH_f (0 K): 0.77 eV/atom

***

2.
Density functional theory data (PBE) for a geometry-optimized Ti6MoPd3 structure.

a = 6.6459 Å, b = 6.6459 Å, c = 6.6459 Å
α = 60.00°, β = 60.00°, γ = 60.00°
Closest atoms and distances in Å follow each position.
Positions (direct):
1 Ti 0.2474 0.2474 0.7526  1 Mo 2.33, 1 Pd 2.37
2 Ti 0.7526 0.2474 0.7526  1 Mo 2.33, 1 Pd 2.37
3 Ti 0.7526 0.2474 0.2474  1 Mo 2.33, 1 Pd 2.37
4 Ti 0.2474 0.7526 0.7526  1 Mo 2.33, 1 Pd 2.37
5 Ti 0.2474 0.7526 0.2474  1 Mo 2.33, 1 Pd 2.37
6 Ti 0.7526 0.7526 0.2474  1 Mo 2.33, 1 Pd 2.37
7 Pd 0.5000 0.5000 0.5000  6 Ti 2.37
8 Pd 0.7500 0.7500 0.7500  12 Ti 3.32
9 Pd 0.2500 0.2500 0.2500  12 Ti 3.32
10 Mo 0.0000 0.0000 0.0000  6 Ti 2.33

Calculated values
Energy: -6.73 eV/atom
Total magnetic moment: 1.6 μB per cell
ΔH_f (0 K): 0.65 eV/atom

***

3.
Density functional theory data (PBE) for a geometry-optimized TiMoPd structure.

a = 3.6911 Å, b = 3.6911 Å, c = 7.3106 Å
α = 90.00°, β = 90.00°, γ = 90.00°
Closest atoms and distances in Å follow each position.
Positions (direct):
1 Mo 0.5000 0.5000 0.5000  4 Mo 2.61, 4 Pd 2.82
2 Mo 0.0000 0.0000 0.5000  4 Mo 2.61, 4 Pd 2.82
3 Pd 0.5000 0.0000 0.2091  5 Ti 2.56-2.66, 4 Mo 2.82
4 Pd 0.0000 0.5000 0.7909  5 Ti 2.56-2.66, 4 Mo 2.82
5 Ti 0.5000 0.0000 0.8588  5 Pd 2.56-2.66
6 Ti 0.0000 0.5000 0.1412  5 Pd 2.56-2.66

Calculated values
Energy: -8.05 eV/atom
Total magnetic moment: 0.0 μB per cell
ΔH_f (0 K): -0.07 eV/atom

***

4.
Density functional theory data (PBE) for a geometry-optimized Ti2MoPd2 structure.

a = 7.5434 Å, b = 7.5434 Å, c = 2.8262 Å
α = 90.00°, β = 90.00°, γ = 90.00°
Closest atoms and distances in Å follow each position.
Positions (direct):
1 Ti 0.1723 0.6723 0.5000  6 Pd 2.56-2.69, 2 Ti 2.83
2 Ti 0.3277 0.1723 0.5000  6 Pd 2.56-2.69, 2 Ti 2.83
3 Ti 0.8277 0.3277 0.5000  6 Pd 2.56-2.69, 2 Ti 2.83
4 Ti 0.6723 0.8277 0.5000  6 Pd 2.56-2.69, 2 Ti 2.83
5 Pd 0.3719 0.8719 0.0000  6 Ti 2.56-2.69, 3 Pd 2.73-2.83
6 Pd 0.8719 0.6281 0.0000  6 Ti 2.56-2.69, 3 Pd 2.73-2.83
7 Pd 0.6281 0.1281 0.0000  6 Ti 2.56-2.69, 3 Pd 2.73-2.83
8 Pd 0.1281 0.3719 0.0000  6 Ti 2.56-2.69, 3 Pd 2.73-2.83
9 Mo 0.5000 0.5000 0.0000  2 Mo 2.83, 4 Pd 2.97, 8 Ti 3.13
10 Mo 0.0000 0.0000 0.0000  2 Mo 2.83, 4 Pd 2.97, 8 Ti 3.13

Calculated values
Energy: -7.60 eV/atom
Total magnetic moment: 0.6 μB per cell
ΔH_f (0 K): -0.20 eV/atom

***

5.
Density functional theory data (PBE) for a geometry-optimized Ti2MoPd2 structure.

a = 7.2955 Å, b = 7.2955 Å, c = 3.0161 Å
α = 90.00°, β = 90.00°, γ = 90.00°
Closest atoms and distances in Å follow each position.
Positions (direct):
1 Ti 0.8371 0.6629 0.0000  6 Pd 2.55-2.67, 2 Mo 2.73
2 Ti 0.6629 0.1629 0.0000  6 Pd 2.55-2.67, 2 Mo 2.73
3 Ti 0.3371 0.8371 0.0000  6 Pd 2.55-2.67, 2 Mo 2.73
4 Ti 0.1629 0.3371 0.0000  6 Pd 2.55-2.67, 2 Mo 2.73
5 Mo 0.0000 0.0000 0.0000  4 Ti 2.73, 2 Mo 3.02
6 Mo 0.5000 0.5000 0.0000  4 Ti 2.73, 2 Mo 3.02
7 Pd 0.8620 0.3620 0.5000  6 Ti 2.55-2.67, 1 Pd 2.85
8 Pd 0.1380 0.6380 0.5000  6 Ti 2.55-2.67, 1 Pd 2.85
9 Pd 0.3620 0.1380 0.5000  6 Ti 2.55-2.67, 1 Pd 2.85
10 Pd 0.6380 0.8620 0.5000  6 Ti 2.55-2.67, 1 Pd 2.85

Calculated values
Energy: -7.63 eV/atom
Total magnetic moment: 0.0 μB per cell
ΔH_f (0 K): -0.23 eV/atom

***

6.
Density functional theory data (PBE) for a geometry-optimized Ti4MoPd structure.

a = 3.1754 Å, b = 3.1754 Å, c = 9.6078 Å
α = 89.98°, β = 89.98°, γ = 90.00°
Closest atoms and distances in Å follow each position.
Positions (direct):
1 Pd 0.5000 0.5000 0.5000  8 Ti 2.75
2 Ti 0.9999 0.9999 0.6658  4 Pd 2.75, 4 Ti 2.81
3 Ti 0.5003 0.5003 0.1576  4 Mo 2.71, 5 Ti 2.81-3.03
4 Ti 0.4997 0.4997 0.8424  4 Mo 2.71, 5 Ti 2.81-3.03
5 Ti 0.0001 0.0001 0.3342  4 Pd 2.75, 4 Ti 2.81
6 Mo 0.0000 0.0000 0.0000  8 Ti 2.71

Calculated values
Energy: -8.18 eV/atom
Total magnetic moment: 0.0 μB per cell
ΔH_f (0 K): -0.25 eV/atom